# 1
DFT (PBE) results for Ac2PmNd2Dy after structural relaxation.

The density of states at the Fermi level is 9.18 states/eV/f.u. For the energy of formation from the pure elements, the calculation gives 0.48 eV/f.u.

The structure belongs to space group Pmma (No. 51); the cell edges are 7.3692, 5.9427 and 10.2471 Å and the angles 90.00°, 90.00° and 90.00°. The inequivalent atoms are Ac at (0.0000, 0.0000, 0.0000), Ac at (0.2500, 0.5000, 0.1745), Pm at (0.0000, 0.5000, 0.5000), Nd at (0.2500, 0.0000, 0.3436), Nd at (0.2500, 0.5000, 0.8266) and Dy at (0.2500, 0.0000, 0.6636).

# 2
DFT (PBE) results for AcPmNd2Dy5 after structural relaxation.

The density of states at the Fermi level is 9.69 states/eV/f.u. For the energy of formation from the pure elements, the calculation gives 2.21 eV/f.u.

The structure belongs to space group I4/mcm (No. 140); the cell edges are 8.8457, 8.8457 and 15.7699 Å and the angles 90.00°, 90.00° and 90.00°. The inequivalent atoms are Ac at (0.0000, 0.0000, 0.2500), Pm at (0.0000, 0.5000, 0.2500), Nd at (0.1175, 0.3825, 0.0000), Dy at (0.0000, 0.0000, 0.0000) and Dy at (0.2061, 0.2939, 0.3672).

# 3
DFT (PBE) results for AcPm3NdDy after structural relaxation.

The density of states at the Fermi level is 9.85 states/eV/f.u. For the energy of formation from the pure elements, the calculation gives 0.21 eV/f.u.

The structure belongs to space group P2_1/m (No. 11); the cell edges are 8.2697, 5.2296 and 10.4428 Å and the angles 90.00°, 108.64° and 90.00°. The inequivalent atoms are Ac at (0.1683, 0.2500, 0.2930), Pm at (0.1708, 0.7500, 0.0403), Pm at (0.1718, 0.2500, 0.7921), Pm at (0.1719, 0.7500, 0.5458), Nd at (0.4964, 0.7500, 0.8748) and Dy at (0.4981, 0.2500, 0.6260).

# 4
DFT (PBE) results for AcPmNd3Dy after structural relaxation.

The density of states at the Fermi level is 8.78 states/eV/f.u. For the energy of formation from the pure elements, the calculation gives 1.17 eV/f.u.

The structure belongs to space group C2/m (No. 12); the cell edges are 20.8116, 5.9073 and 7.1399 Å and the angles 90.00°, 91.33° and 90.00°. The inequivalent atoms are Ac at (0.1479, 0.0000, 0.0324), Pm at (0.0557, 0.5000, 0.2832), Nd at (0.0165, 0.0000, 0.7420), Nd at (0.1605, 0.5000, 0.7413), Nd at (0.2185, 0.5000, 0.2722) and Dy at (0.1433, 0.0000, 0.4873).

# 5
DFT (PBE) results for AcPmNd5Dy2 after structural relaxation.

The density of states at the Fermi level is 11.13 states/eV/f.u. For the energy of formation from the pure elements, the calculation gives 1.27 eV/f.u.

The structure belongs to space group Cmc2_1 (No. 36); the cell edges are 5.6303, 24.4168 and 9.5532 Å and the angles 90.00°, 90.00° and 90.00°. The inequivalent atoms are Ac at (0.0000, 0.1025, 0.0000), Pm at (0.0000, 0.2638, 0.6085), Nd at (0.0000, 0.0244, 0.3259), Nd at (0.0000, 0.1044, 0.6055), Nd at (0.0000, 0.1893, 0.2993), Nd at (0.0000, 0.2411, 0.9330), Nd at (0.0000, 0.4923, 0.1049), Dy at (0.0000, 0.3281, 0.2471) and Dy at (0.0000, 0.3880, 0.8602).

# 6
DFT (PBE) results for AcPmNdDy after structural relaxation.

The density of states at the Fermi level is 8.95 states/eV/f.u. For the energy of formation from the pure elements, the calculation gives 0.55 eV/f.u.

The structure belongs to space group F-43m (No. 216); the cell edges are 8.3570, 8.3570 and 8.3570 Å and the angles 90.00°, 90.00° and 90.00°. The inequivalent atoms are Ac at (0.0000, 0.0000, 0.0000), Pm at (0.0000, 0.0000, 0.5000), Nd at (0.2500, 0.2500, 0.2500) and Dy at (0.2500, 0.2500, 0.7500).

# 7
DFT (PBE) results for AcPm2NdDy5 after structural relaxation.

The density of states at the Fermi level is 9.95 states/eV/f.u. For the energy of formation from the pure elements, the calculation gives 2.21 eV/f.u.

The structure belongs to space group I4/mcm (No. 140); the cell edges are 8.8453, 8.8453 and 15.7306 Å and the angles 90.00°, 90.00° and 90.00°. The inequivalent atoms are Ac at (0.0000, 0.0000, 0.2500), Pm at (0.1171, 0.3829, 0.0000), Nd at (0.0000, 0.5000, 0.2500), Dy at (0.0000, 0.0000, 0.0000) and Dy at (0.2052, 0.2948, 0.3684).

# 8
DFT (PBE) results for AcPm6Nd2Dy3 after structural relaxation.

The density of states at the Fermi level is 17.38 states/eV/f.u. For the energy of formation from the pure elements, the calculation gives 0.31 eV/f.u.

The structure belongs to space group C2/m (No. 12); the cell edges are 6.3417, 10.9855 and 12.1139 Å and the angles 90.00°, 100.07° and 90.00°. The inequivalent atoms are Ac at (0.0000, 0.0000, 0.0000), Pm at (0.2460, 0.3323, 0.7436), Pm at (0.2492, 0.0000, 0.7432), Nd at (0.0000, 0.3334, 0.0000), Dy at (0.0000, 0.1670, 0.5000) and Dy at (0.0000, 0.5000, 0.5000).

# 9
DFT (PBE) results for AcPm2NdDy4 after structural relaxation.

The density of states at the Fermi level is 19.03 states/eV/f.u. For the energy of formation from the pure elements, the calculation gives 3.36 eV/f.u.

The structure belongs to space group C2/c (No. 15); the cell edges are 13.8661, 13.4818 and 6.9464 Å and the angles 90.00°, 120.06° and 90.00°. The inequivalent atoms are Ac at (0.2500, 0.2500, 0.0000), Pm at (0.0000, 0.0000, 0.0000), Pm at (0.2500, 0.2500, 0.5000), Nd at (0.0000, 0.5000, 0.0000), Dy at (0.0000, 0.2491, 0.0132) and Dy at (0.2491, 0.0081, 0.4984).

# 10
DFT (PBE) results for AcPr5Nd2Dy after structural relaxation.

The density of states at the Fermi level is 12.55 states/eV/f.u. For the energy of formation from the pure elements, the calculation gives 2.26 eV/f.u.

The structure belongs to space group I4/mcm (No. 140); the cell edges are 9.1090, 9.1090 and 15.9795 Å and the angles 90.00°, 90.00° and 90.00°. The inequivalent atoms are Ac at (0.0000, 0.0000, 0.2500), Pr at (0.0000, 0.0000, 0.0000), Pr at (0.2046, 0.2954, 0.1343), Nd at (0.1164, 0.3836, 0.5000) and Dy at (0.0000, 0.5000, 0.2500).

# 11
DFT (PBE) results for AcPrNd2Dy after structural relaxation.

The density of states at the Fermi level is 6.70 states/eV/f.u. For the energy of formation from the pure elements, the calculation gives 1.67 eV/f.u.

The structure belongs to space group Cmcm (No. 63); the cell edges are 8.3562, 12.3332 and 7.4469 Å and the angles 90.00°, 90.00° and 90.00°. The inequivalent atoms are Ac at (0.0000, 0.2422, 0.2500), Pr at (0.0000, 0.0612, 0.7500), Nd at (0.1963, 0.5000, 0.0000) and Dy at (0.0000, 0.3082, 0.7500).

# 12
DFT (PBE) results for AcPrNd5Dy2 after structural relaxation.

The density of states at the Fermi level is 10.82 states/eV/f.u. For the energy of formation from the pure elements, the calculation gives 1.28 eV/f.u.

The structure belongs to space group Cmc2_1 (No. 36); the cell edges are 5.6582, 24.3209 and 9.5982 Å and the angles 90.00°, 90.00° and 90.00°. The inequivalent atoms are Ac at (0.0000, 0.1025, 0.0000), Pr at (0.0000, 0.2653, 0.6081), Nd at (0.0000, 0.0247, 0.3265), Nd at (0.0000, 0.1036, 0.6072), Nd at (0.0000, 0.1884, 0.3016), Nd at (0.0000, 0.2409, 0.9313), Nd at (0.0000, 0.4933, 0.1056), Dy at (0.0000, 0.3289, 0.2454) and Dy at (0.0000, 0.3881, 0.8647).